(1)
# Cd2Hg2O5 GGA-PBE optimized geometry
data_Cd2Hg2O5
_chemical_formula_sum 'Cd4 Hg4 O10'
_cell_length_a 12.190
_cell_length_b 4.163
_cell_length_c 6.288
_cell_angle_alpha 90.00
_cell_angle_beta 120.77
_cell_angle_gamma 90.00
_space_group_name_H-M_alt 'C 1 2/m 1'
_space_group_IT_number 12
loop_
_space_group_symop_operation_xyz
'x,y,z'
'-x,-y,-z'
'-x,y,-z'
'x,-y,z'
'x+1/2,y+1/2,z'
'-x+1/2,-y+1/2,-z'
'-x+1/2,y+1/2,-z'
'x+1/2,-y+1/2,z'
loop_
_atom_site_label
_atom_site_type_symbol
_atom_site_fract_x
_atom_site_fract_y
_atom_site_fract_z
Cd1 Cd 0.124 0.000 0.459
Hg1 Hg 0.107 0.500 0.911
O1 O 0.000 0.500 0.500
O2 O 0.097 0.000 0.823
O3 O 0.163 0.500 0.296
# - Total DFT energy (no corrections): -60.7 eV/cell

***

(2)
# CdHg5O4 GGA-PBE optimized geometry
data_CdHg5O4
_chemical_formula_sum 'Cd2 Hg10 O8'
_cell_length_a 17.159
_cell_length_b 3.395
_cell_length_c 6.222
_cell_angle_alpha 90.00
_cell_angle_beta 100.79
_cell_angle_gamma 90.00
_space_group_name_H-M_alt 'C 1 2/m 1'
_space_group_IT_number 12
loop_
_space_group_symop_operation_xyz
'x,y,z'
'-x,-y,-z'
'-x,y,-z'
'x,-y,z'
'x+1/2,y+1/2,z'
'-x+1/2,-y+1/2,-z'
'-x+1/2,y+1/2,-z'
'x+1/2,-y+1/2,z'
loop_
_atom_site_label
_atom_site_type_symbol
_atom_site_fract_x
_atom_site_fract_y
_atom_site_fract_z
Cd1 Cd 0.000 0.000 0.000
Hg1 Hg 0.000 0.000 0.500
Hg2 Hg 0.163 0.500 0.360
Hg3 Hg 0.165 0.500 0.803
O1 O 0.005 0.500 0.255
O2 O 0.145 0.000 0.069
# - Total DFT energy (no corrections): -49.4 eV/cell

***

(3)
# CdHg2OsO6 GGA-PBE optimized geometry
data_CdHg2OsO6
_chemical_formula_sum 'Cd2 Hg4 Os2 O12'
_cell_length_a 5.772
_cell_length_b 5.697
_cell_length_c 10.021
_cell_angle_alpha 90.00
_cell_angle_beta 124.43
_cell_angle_gamma 90.00
_space_group_name_H-M_alt 'P 1 21/c 1'
_space_group_IT_number 14
loop_
_space_group_symop_operation_xyz
'x,y,z'
'-x,-y,-z'
'-x,y+1/2,-z+1/2'
'x,-y+1/2,z+1/2'
loop_
_atom_site_label
_atom_site_type_symbol
_atom_site_fract_x
_atom_site_fract_y
_atom_site_fract_z
Cd1 Cd 0.000 0.000 0.000
Hg1 Hg 0.237 0.025 0.742
Os1 Os 0.500 0.000 0.500
O1 O 0.191 0.065 0.278
O2 O 0.250 0.668 0.035
O3 O 0.407 0.220 0.065
# - Total DFT energy (no corrections): -98.0 eV/cell

***

(4)
# Cd2HgOsO8 GGA-PBE optimized geometry
data_Cd2HgOsO8
_chemical_formula_sum 'Cd2 Hg1 Os1 O8'
_cell_length_a 4.936
_cell_length_b 5.048
_cell_length_c 6.925
_cell_angle_alpha 87.72
_cell_angle_beta 87.75
_cell_angle_gamma 84.52
_space_group_name_H-M_alt 'P -1'
_space_group_IT_number 2
loop_
_space_group_symop_operation_xyz
'x,y,z'
'-x,-y,-z'
loop_
_atom_site_label
_atom_site_type_symbol
_atom_site_fract_x
_atom_site_fract_y
_atom_site_fract_z
Cd1 Cd 0.031 0.027 0.250
Hg1 Hg 0.500 0.500 0.000
Os1 Os 0.500 0.500 0.500
O1 O 0.224 0.825 0.995
O2 O 0.234 0.791 0.501
O3 O 0.280 0.311 0.653
O4 O 0.339 0.368 0.268
# - Total DFT energy (no corrections): -60.1 eV/cell

***

(5)
# Cd2Hg2OsO6 GGA-PBE optimized geometry
data_Cd2Hg2OsO6
_chemical_formula_sum 'Cd4 Hg4 Os2 O12'
_cell_length_a 5.799
_cell_length_b 10.040
_cell_length_c 6.279
_cell_angle_alpha 90.00
_cell_angle_beta 95.14
_cell_angle_gamma 90.00
_space_group_name_H-M_alt 'C 1 2/m 1'
_space_group_IT_number 12
loop_
_space_group_symop_operation_xyz
'x,y,z'
'-x,-y,-z'
'-x,y,-z'
'x,-y,z'
'x+1/2,y+1/2,z'
'-x+1/2,-y+1/2,-z'
'-x+1/2,y+1/2,-z'
'x+1/2,-y+1/2,z'
loop_
_atom_site_label
_atom_site_type_symbol
_atom_site_fract_x
_atom_site_fract_y
_atom_site_fract_z
Cd1 Cd 0.000 0.162 0.000
Hg1 Hg 0.000 0.345 0.500
Os1 Os 0.000 0.500 0.000
O1 O 0.143 0.355 0.183
O2 O 0.231 0.000 0.170
# - Total DFT energy (no corrections): -101.9 eV/cell

***

(6)
# CdHgP2O8 GGA-PBE optimized geometry
data_CdHgP2O8
_chemical_formula_sum 'Cd1 Hg1 P2 O8'
_cell_length_a 5.4116
_cell_length_b 5.4116
_cell_length_c 6.8619
_cell_angle_alpha 90.00
_cell_angle_beta 90.00
_cell_angle_gamma 120.00
_space_group_name_H-M_alt 'P -3 m 1'
_space_group_IT_number 164
_space_group_name_Hall '-P 3 2"'
loop_
_atom_site_label
_atom_site_type_symbol
_atom_site_fract_x
_atom_site_fract_y
_atom_site_fract_z
Cd1 Cd 0.0000 0.0000 0.0000
Hg1 Hg 0.0000 0.0000 0.5000
P1 P 0.3333 0.6667 0.8088
O1 O 0.1743 0.3487 0.7451
O2 O 0.3333 0.6667 0.0340
# - Total DFT energy (no corrections): -67.7 eV/cell

***

(7)
# CdHgPO4 GGA-PBE optimized geometry
data_CdHgPO4
_chemical_formula_sum 'Cd4 Hg4 P4 O16'
_cell_length_a 11.443
_cell_length_b 5.852
_cell_length_c 6.858
_cell_angle_alpha 90.00
_cell_angle_beta 99.76
_cell_angle_gamma 90.00
_space_group_name_H-M_alt 'C 1 2/m 1'
_space_group_IT_number 12
loop_
_space_group_symop_operation_xyz
'x,y,z'
'-x,-y,-z'
'-x,y,-z'
'x,-y,z'
'x+1/2,y+1/2,z'
'-x+1/2,-y+1/2,-z'
'-x+1/2,y+1/2,-z'
'x+1/2,-y+1/2,z'
loop_
_atom_site_label
_atom_site_type_symbol
_atom_site_fract_x
_atom_site_fract_y
_atom_site_fract_z
Cd1 Cd 0.190 0.000 0.345
Hg1 Hg 0.111 0.500 0.995
P1 P 0.133 0.000 0.758
O1 O 0.001 0.000 0.763
O2 O 0.174 0.214 0.650
O3 O 0.198 0.000 0.983
# - Total DFT energy (no corrections): -148.3 eV/cell

***

(8)
# CdHgP2O GGA-PBE optimized geometry
data_CdHgP2O
_chemical_formula_sum 'Cd1 Hg1 P2 O1'
_cell_length_a 5.136
_cell_length_b 5.136
_cell_length_c 4.080
_cell_angle_alpha 90.00
_cell_angle_beta 90.00
_cell_angle_gamma 90.00
_space_group_name_H-M_alt 'P 4/m m m'
_space_group_IT_number 123
_space_group_name_Hall '-P 4 2'
loop_
_atom_site_label
_atom_site_type_symbol
_atom_site_fract_x
_atom_site_fract_y
_atom_site_fract_z
Cd1 Cd 0.000 0.000 0.000
Hg1 Hg 0.500 0.500 0.500
P1 P 0.000 0.500 0.500
O1 O 0.500 0.500 0.000
# - Polymorph energy (0 for the lowest one): 70 meV per atom

***

(9)
# CdHgP2O GGA-PBE optimized geometry
data_CdHgP2O
_chemical_formula_sum 'Cd1 Hg1 P2 O1'
_cell_length_a 5.134
_cell_length_b 5.134
_cell_length_c 4.061
_cell_angle_alpha 90.00
_cell_angle_beta 90.00
_cell_angle_gamma 90.00
_space_group_name_H-M_alt 'P 4/m m m'
_space_group_IT_number 123
_space_group_name_Hall '-P 4 2'
loop_
_atom_site_label
_atom_site_type_symbol
_atom_site_fract_x
_atom_site_fract_y
_atom_site_fract_z
Cd1 Cd 0.000 0.000 0.000
Hg1 Hg 0.500 0.500 0.500
P1 P 0.000 0.500 0.000
O1 O 0.000 0.000 0.500
# - Polymorph energy (0 for the lowest one): 0 meV per atom

***

(10)
# CdHgPbO4 GGA-PBE optimized geometry
data_CdHgPbO4
_chemical_formula_sum 'Cd4 Hg4 Pb4 O16'
_cell_length_a 6.655
_cell_length_b 6.833
_cell_length_c 9.884
_cell_angle_alpha 90.00
_cell_angle_beta 90.00
_cell_angle_gamma 90.00
_space_group_name_H-M_alt 'I m m a'
_space_group_IT_number 74
_space_group_name_Hall '-I 2b 2'
loop_
_atom_site_label
_atom_site_type_symbol
_atom_site_fract_x
_atom_site_fract_y
_atom_site_fract_z
Cd1 Cd 0.000 0.250 0.141
Hg1 Hg 0.250 0.250 0.750
Pb1 Pb 0.000 0.000 0.500
O1 O 0.000 0.010 0.722
O2 O 0.225 0.250 0.495
# - Total DFT energy (no corrections): -119.3 eV/cell

***

(11)
# CdHg2Pd2O6 GGA-PBE optimized geometry
data_CdHg2Pd2O6
_chemical_formula_sum 'Cd2 Hg4 Pd4 O12'
_cell_length_a 5.590
_cell_length_b 9.640
_cell_length_c 6.130
_cell_angle_alpha 90.00
_cell_angle_beta 104.92
_cell_angle_gamma 90.00
_space_group_name_H-M_alt 'C 1 2/m 1'
_space_group_IT_number 12
loop_
_space_group_symop_operation_xyz
'x,y,z'
'-x,-y,-z'
'-x,y,-z'
'x,-y,z'
'x+1/2,y+1/2,z'
'-x+1/2,-y+1/2,-z'
'-x+1/2,y+1/2,-z'
'x+1/2,-y+1/2,z'
loop_
_atom_site_label
_atom_site_type_symbol
_atom_site_fract_x
_atom_site_fract_y
_atom_site_fract_z
Cd1 Cd 0.000 0.000 0.000
Hg1 Hg 0.000 0.155 0.500
Pd1 Pd 0.000 0.336 0.000
O1 O 0.194 0.500 0.180
O2 O 0.234 0.188 0.191
# - Total DFT energy (no corrections): -91.0 eV/cell

***

(12)
# Cd2HgPdO4 GGA-PBE optimized geometry
data_Cd2HgPdO4
_chemical_formula_sum 'Cd4 Hg2 Pd2 O8'
_cell_length_a 11.064
_cell_length_b 3.543
_cell_length_c 5.846
_cell_angle_alpha 90.00
_cell_angle_beta 104.45
_cell_angle_gamma 90.00
_space_group_name_H-M_alt 'C 1 2/m 1'
_space_group_IT_number 12
loop_
_space_group_symop_operation_xyz
'x,y,z'
'-x,-y,-z'
'-x,y,-z'
'x,-y,z'
'x+1/2,y+1/2,z'
'-x+1/2,-y+1/2,-z'
'-x+1/2,y+1/2,-z'
'x+1/2,-y+1/2,z'
loop_
_atom_site_label
_atom_site_type_symbol
_atom_site_fract_x
_atom_site_fract_y
_atom_site_fract_z
Cd1 Cd 0.241 0.000 0.251
Hg1 Hg 0.000 0.500 0.000
Pd1 Pd 0.000 0.000 0.500
O1 O 0.106 0.500 0.366
O2 O 0.141 0.000 0.815
# - Total DFT energy (no corrections): -62.3 eV/cell